Below is a relaxed structure of TeH2Pb, with properties calculated at the PBE-GGA level.

Unit cell a=5.9740 b=5.9740 c=7.8171 alpha=90.00 beta=90.00 gamma=90.00
Last column: nearest neighbours and their distance in Å.
Positions (direct):
Te 0.0000 0.0000 0.0000  4 H 2.21
Te 0.0000 0.5000 0.2500  4 H 2.21
Te 0.5000 0.0000 0.7500  4 H 2.21
Te 0.5000 0.5000 0.5000  4 H 2.21
H 0.2185 0.2500 0.1250  2 Te 2.21, 2 Pb 2.45
H 0.2500 0.7185 0.3750  2 Te 2.21, 2 Pb 2.45
H 0.2500 0.7815 0.8750  2 Te 2.21, 2 Pb 2.45
H 0.2815 0.2500 0.6250  2 Te 2.21, 2 Pb 2.45
H 0.7185 0.7500 0.6250  2 Te 2.21, 2 Pb 2.45
H 0.7500 0.2185 0.8750  2 Te 2.21, 2 Pb 2.45
H 0.7500 0.2815 0.3750  2 Te 2.21, 2 Pb 2.45
H 0.7815 0.7500 0.1250  2 Te 2.21, 2 Pb 2.45
Pb 0.0000 0.0000 0.5000  4 H 2.45
Pb 0.0000 0.5000 0.7500  4 H 2.45
Pb 0.5000 0.0000 0.2500  4 H 2.45
Pb 0.5000 0.5000 0.0000  4 H 2.45

Electronic total energy: -45.33 eV per cell
Space-group type: I-42d, No. 122

Below is a relaxed structure of TeHPb3, with properties calculated at the PBE-GGA level.

Unit cell a=5.0651 b=5.0651 c=5.0651 alpha=90.00 beta=90.00 gamma=90.00
Last column: nearest neighbours and their distance in Å.
Positions (direct):
Te 0.0000 0.0000 0.0000  12 Pb 3.58
H 0.5000 0.5000 0.5000  6 Pb 2.53
Pb 0.0000 0.5000 0.5000  2 H 2.53
Pb 0.5000 0.0000 0.5000  2 H 2.53
Pb 0.5000 0.5000 0.0000  2 H 2.53

Electronic total energy: -16.69 eV per cell
Space-group type: Pm-3m, No. 221

Below is a relaxed structure of TeHPb3, with properties calculated at the PBE-GGA level.

Unit cell a=6.0799 b=6.0799 c=6.0799 alpha=90.00 beta=90.00 gamma=90.00
Last column: nearest neighbours and their distance in Å.
Positions (direct):
Te 0.0000 0.0000 0.0000  6 Pb 3.04
H 0.5000 0.5000 0.5000  12 Pb 4.30
Pb 0.0000 0.0000 0.5000  2 Te 3.04
Pb 0.0000 0.5000 0.0000  2 Te 3.04
Pb 0.5000 0.0000 0.0000  2 Te 3.04

Electronic total energy: -13.18 eV per cell
Space-group type: Pm-3m, No. 221

Below is a relaxed structure of TeH2Pb, with properties calculated at the PBE-GGA level.

Unit cell a=6.4500 b=6.4500 c=6.4500 alpha=90.00 beta=90.00 gamma=90.00
Last column: nearest neighbours and their distance in Å.
Positions (direct):
Te 0.0000 0.0000 0.0000  8 H 2.79
Te 0.0000 0.5000 0.5000  8 H 2.79
Te 0.5000 0.0000 0.5000  8 H 2.79
Te 0.5000 0.5000 0.0000  8 H 2.79
H 0.2500 0.2500 0.2500  4 Pb 2.79, 4 Te 2.79
H 0.2500 0.2500 0.7500  4 Te 2.79, 4 Pb 2.79
H 0.2500 0.7500 0.2500  4 Pb 2.79, 4 Te 2.79
H 0.2500 0.7500 0.7500  4 Pb 2.79, 4 Te 2.79
H 0.7500 0.2500 0.2500  4 Pb 2.79, 4 Te 2.79
H 0.7500 0.2500 0.7500  4 Pb 2.79, 4 Te 2.79
H 0.7500 0.7500 0.2500  4 Pb 2.79, 4 Te 2.79
H 0.7500 0.7500 0.7500  4 Te 2.79, 4 Pb 2.79
Pb 0.0000 0.0000 0.5000  8 H 2.79
Pb 0.0000 0.5000 0.0000  8 H 2.79
Pb 0.5000 0.0000 0.0000  8 H 2.79
Pb 0.5000 0.5000 0.5000  8 H 2.79

Electronic total energy: -44.74 eV per cell
Space-group type: Fm-3m, No. 225

Below is a relaxed structure of TeH3Pb, with properties calculated at the PBE-GGA level.

Unit cell a=4.1756 b=4.1756 c=4.1756 alpha=90.00 beta=90.00 gamma=90.00
Last column: nearest neighbours and their distance in Å.
Positions (direct):
Te 0.0000 0.0000 0.0000  6 H 2.09
H 0.0000 0.0000 0.5000  2 Te 2.09
H 0.0000 0.5000 0.0000  2 Te 2.09
H 0.5000 0.0000 0.0000  2 Te 2.09
Pb 0.5000 0.5000 0.5000  12 H 2.95

Electronic total energy: -13.63 eV per cell
Space-group type: Pm-3m, No. 221

Below is a relaxed structure of Ti7Te2H2Pb, with properties calculated at the PBE-GGA level.

Unit cell a=4.0414 b=4.0414 c=11.9103 alpha=99.72 beta=99.72 gamma=89.99
Last column: nearest neighbours and their distance in Å.
Positions (direct):
Ti 0.0000 0.0000 0.0000  2 H 2.00
Ti 0.0962 0.5963 0.1938  2 H 2.04
Ti 0.1959 0.1959 0.3950  1 H 2.57, 5 Te 2.77-2.88
Ti 0.4037 0.9038 0.8062  2 H 2.04
Ti 0.5963 0.0962 0.1938  2 H 2.04
Ti 0.8041 0.8041 0.6050  1 H 2.57, 5 Te 2.77-2.88
Ti 0.9038 0.4037 0.8062  2 H 2.04
Te 0.3183 0.3183 0.6341  9 Ti 2.77-2.88
Te 0.6817 0.6817 0.3659  9 Ti 2.77-2.88
H 0.0857 0.0857 0.1727  5 Ti 2.00-2.04
H 0.9143 0.9143 0.8273  5 Ti 2.00-2.04
Pb 0.5000 0.5000 0.0000  12 Ti 2.86-3.02

Electronic total energy: -76.56 eV per cell
Space-group type: C2/m, No. 12

Below is a relaxed structure of TiTeH2Pb, with properties calculated at the PBE-GGA level.

Unit cell a=4.0279 b=4.0279 c=6.7062 alpha=90.00 beta=90.00 gamma=90.00
Last column: nearest neighbours and their distance in Å.
Positions (direct):
Ti 0.0000 0.0000 0.0000  4 Pb 2.85
Te 0.5000 0.5000 0.5000  4 H 2.01
H 0.0000 0.5000 0.5000  2 Te 2.01
H 0.5000 0.0000 0.5000  2 Te 2.01
Pb 0.5000 0.5000 0.0000  4 Ti 2.85

Electronic total energy: -18.54 eV per cell
Space-group type: P4/mmm, No. 123

Below is a relaxed structure of Th3HPb, with properties calculated at the PBE-GGA level.

Unit cell a=6.9349 b=6.9349 c=8.4717 alpha=127.10 beta=127.10 gamma=60.96
Last column: nearest neighbours and their distance in Å.
Positions (direct):
Th 0.2074 0.7108 0.7034  2 H 2.52
Th 0.2586 0.2586 0.8092  1 H 2.30
Th 0.2892 0.7926 0.2966  2 H 2.52
Th 0.7108 0.2074 0.7034  2 H 2.52
Th 0.7414 0.7414 0.1908  1 H 2.30
Th 0.7926 0.2892 0.2966  2 H 2.52
H 0.2518 0.2518 0.5311  5 Th 2.30-2.52
H 0.7482 0.7482 0.4689  5 Th 2.30-2.52
Pb 0.2456 0.2456 0.1968  1 H 2.78
Pb 0.7544 0.7544 0.8032  1 H 2.78

Electronic total energy: -60.68 eV per cell
Space-group type: C2/m, No. 12

Below is a relaxed structure of ThHPb, with properties calculated at the PBE-GGA level.

Unit cell a=4.0032 b=4.0032 c=4.8645 alpha=90.00 beta=90.00 gamma=120.00
Last column: nearest neighbours and their distance in Å.
Positions (direct):
Th 0.0000 0.0000 0.0000  3 H 2.31
H 0.3333 0.6667 0.0000  3 Th 2.31
Pb 0.6667 0.3333 0.5000  6 Th 3.36, 6 H 3.36

Electronic total energy: -15.56 eV per cell
Space-group type: P-6m2, No. 187

Below is a relaxed structure of ThHPb, with properties calculated at the PBE-GGA level.

Unit cell a=9.6589 b=4.1253 c=6.6201 alpha=90.00 beta=90.00 gamma=90.00
Last column: nearest neighbours and their distance in Å.
Positions (direct):
Th 0.2167 0.2500 0.0899  3 H 2.29-2.33
Th 0.2833 0.7500 0.5899  3 H 2.29-2.33
Th 0.7167 0.2500 0.4101  3 H 2.29-2.33
Th 0.7833 0.7500 0.9101  3 H 2.29-2.33
H 0.2284 0.7500 0.9259  3 Th 2.29-2.33
H 0.2716 0.2500 0.4259  3 Th 2.29-2.33
H 0.7284 0.7500 0.5741  3 Th 2.29-2.33
H 0.7716 0.2500 0.0741  3 Th 2.29-2.33
Pb 0.0112 0.2500 0.6926  4 H 3.07-3.43, 2 Pb 3.29, 6 Th 3.29-3.41
Pb 0.4888 0.7500 0.1926  4 H 3.07-3.43, 2 Pb 3.29, 6 Th 3.29-3.41
Pb 0.5112 0.2500 0.8074  4 H 3.07-3.43, 2 Pb 3.29, 6 Th 3.29-3.41
Pb 0.9888 0.7500 0.3074  4 H 3.07-3.43, 2 Pb 3.29, 6 Th 3.29-3.41

Electronic total energy: -62.28 eV per cell
Space-group type: Pnma, No. 62

Below is a relaxed structure of Th3HPb, with properties calculated at the PBE-GGA level.

Unit cell a=5.0106 b=5.0106 c=5.0106 alpha=90.00 beta=90.00 gamma=90.00
Last column: nearest neighbours and their distance in Å.
Positions (direct):
Th 0.0000 0.0000 0.5000  2 H 2.51
Th 0.0000 0.5000 0.0000  2 H 2.51
Th 0.5000 0.0000 0.0000  2 H 2.51
H 0.0000 0.0000 0.0000  6 Th 2.51
Pb 0.5000 0.5000 0.5000  12 Th 3.54

Electronic total energy: -30.57 eV per cell
Space-group type: Pm-3m, No. 221

Below is a relaxed structure of Th3H2Pb, with properties calculated at the PBE-GGA level.

Unit cell a=12.9224 b=12.9224 c=6.3380 alpha=102.08 beta=102.08 gamma=15.63
Last column: nearest neighbours and their distance in Å.
Positions (direct):
Th 0.0273 0.0273 0.2806  2 H 2.35-2.39
Th 0.2402 0.2402 0.7543  3 H 2.35-2.38
Th 0.3943 0.3943 0.1299  3 H 2.34-2.35
Th 0.6057 0.6057 0.8701  3 H 2.34-2.35
Th 0.7598 0.7598 0.2457  3 H 2.35-2.38
Th 0.9727 0.9727 0.7194  2 H 2.35-2.39
H 0.0603 0.0603 0.6620  4 Th 2.35-2.39
H 0.3011 0.3011 0.0879  4 Th 2.34-2.38
H 0.6989 0.6989 0.9121  4 Th 2.34-2.38
H 0.9397 0.9397 0.3380  4 Th 2.35-2.39
Pb 0.3555 0.3555 0.6041  7 Th 3.27-3.45, 4 H 3.27-3.63, 2 Pb 3.51
Pb 0.6445 0.6445 0.3959  7 Th 3.27-3.45, 4 H 3.27-3.63, 2 Pb 3.51

Electronic total energy: -67.70 eV per cell
Space-group type: C2/m, No. 12

The lowest electronic total energy belongs to which entry? Ti7Te2H2Pb